Computed, not measured: crystalline K4U3VS8 at its relaxed geometry at the GGA-PBE level of DFT.

## Properties
- uncorrected formation energy (eV per formula unit) = -20.79

Cell and atoms, written as CIF:
```
data_K4U3VS8
_cell_length_a 7.8897
_cell_length_b 7.8897
_cell_length_c 22.3328
_cell_angle_alpha 90.00
_cell_angle_beta 90.00
_cell_angle_gamma 120.00
_symmetry_space_group_name_H-M 'R -3 m'
_symmetry_Int_Tables_number 166
_symmetry_space_group_name_Hall '-R 3 2"'
loop_
_atom_site_label
_atom_site_fract_x
_atom_site_fract_y
_atom_site_fract_z
K1 0.0000 0.0000 0.0000
K2 0.0000 0.5000 0.0000
U1 0.0000 0.5000 0.5000
V1 0.0000 0.0000 0.5000
S1 0.0000 0.0000 0.2362
S2 0.0142 0.5071 0.2325
```